Record 1
Y2W | PBE-GGA | optimized geometry

As for the crystal system: orthorhombic. The value obtained for the total energy is -8.097 eV per atom. The energy above the most stable polymorph in this dataset is 284 meV/atom. Its space group is Pnma (62). The calculation puts the formation energy at 0.53 eV per atom.

Lattice parameters (Å, degrees): 6.4728 4.8499 9.4267 90.00 90.00 90.00
Fractional coordinates of all 12 atoms:
W  0.7959  0.7500  0.1269
W  0.2041  0.2500  0.8731
W  0.2959  0.7500  0.3731
W  0.7041  0.2500  0.6269
Y  0.5567  0.2500  0.2915
Y  0.9433  0.7500  0.7915
Y  0.4433  0.7500  0.7085
Y  0.6750  0.2500  0.9427
Y  0.0567  0.2500  0.2085
Y  0.3250  0.7500  0.0573
Y  0.8250  0.7500  0.4427
Y  0.1750  0.2500  0.5573

***

Record 2
YSiAs2 | PBE-GGA | optimized geometry

As for the crystal system: orthorhombic. The value obtained for the total energy is -5.704 eV per atom. Its space group is Imm2 (44).

Lattice parameters (Å, degrees): 5.7921 5.7921 5.7921 139.49 139.47 58.65
Fractional coordinates of all 4 atoms:
Y  0.7499  0.2499  0.5000
As  0.2503  0.7503  0.5000
As  0.0001  0.0001  0.0000
Si  0.4997  0.4997  0.0000

***

- Number 2 is which compound?
  YSiAs2